# 1
First-principles (PBE) data for a relaxed structure of CeCo4Si12, as listed in Alexandria via LeMat-Bulk.

The structure belongs to space group Im-3 (No. 204); the cell edges are 8.0174, 8.0174 and 8.0174 Å and the angles 90.00°, 90.00° and 90.00°. Symmetry generates all atoms from Ce at (0.0000, 0.0000, 0.0000), Co at (0.2500, 0.2500, 0.2500) and Si at (0.0000, 0.3477, 0.1643).

Its total magnetic moment is 0.00 μB/f.u. As for the formation energy (no corrections): -3.361 eV/f.u.

# 2
First-principles (PBE) data for a relaxed structure of CeCoSi, as listed in Alexandria via LeMat-Bulk.

The structure belongs to space group P4/nmm (No. 129, origin choice 2); the cell edges are 4.0007, 4.0007 and 6.7941 Å and the angles 90.00°, 90.00° and 90.00°. Symmetry generates all atoms from Ce at (0.2500, 0.2500, 0.1767), Co at (0.2500, 0.7500, 0.5000) and Si at (0.2500, 0.2500, 0.6778).

Its total magnetic moment is 1.22 μB/f.u. As for the formation energy (no corrections): -1.994 eV/f.u.

# 3
First-principles (PBE) data for a relaxed structure of Ce2CoSi, as listed in Alexandria via LeMat-Bulk.

The structure belongs to space group P2_1/m (No. 11); the cell edges are 5.8230, 4.2734 and 6.7344 Å and the angles 90.00°, 105.89° and 90.00°. Symmetry generates all atoms from Ce at (0.1533, 0.2500, 0.0097), Ce at (0.2557, 0.2500, 0.4435), Co at (0.4708, 0.7500, 0.1472) and Si at (0.3164, 0.7500, 0.7682).

Its total magnetic moment is 0.18 μB/f.u. As for the formation energy (no corrections): -1.775 eV/f.u. As for the offset from the most stable computed form: 0.080 eV/atom.

The evaluated uncorrected energy for the records listed, in turn: -205.59 -40.91 -52.34 eV for the cell shown.
The evaluated D(E_F) for the records listed, in turn: 0.652 1.521 1.686 states/eV/atom.